No. 1
First-principles (PBE) data for crystalline Ho2TaReN6 at its relaxed geometry, as listed in the Alexandria database.

ΔE_f (raw) = -9.4 eV/f.u.

Cell: 5.4384 5.6826 7.8042 Å, 90.00 89.69 90.00°
Fractional coordinates of all 20 atoms:
Ho: 0.0128 0.9356 0.2495
Ho: 0.5128 0.5644 0.7495
Ho: 0.9872 0.0644 0.7505
Ho: 0.4872 0.4356 0.2505
Ta: 0.5000 0.0000 0.5000
Ta: 0.0000 0.5000 0.0000
Re: 0.5000 0.0000 0.0000
Re: 0.0000 0.5000 0.5000
N: 0.3071 0.7041 0.0520
N: 0.8071 0.7959 0.5520
N: 0.6929 0.2959 0.9480
N: 0.1929 0.2041 0.4480
N: 0.2960 0.6946 0.4500
N: 0.7960 0.8054 0.9500
N: 0.7040 0.3054 0.5500
N: 0.2040 0.1946 0.0500
N: 0.9029 0.5262 0.2556
N: 0.4029 0.9738 0.7556
N: 0.0971 0.4738 0.7444
N: 0.5971 0.0262 0.2444

***

No. 2
First-principles (PBE) data for crystalline Ho2ReTcN6 at its relaxed geometry, as listed in the Alexandria database.

ΔE_f (raw) = -6.3 eV/f.u.

Cell: 5.3526 5.6169 7.7247 Å, 90.00 89.98 90.00°
Fractional coordinates of all 20 atoms:
Ho: 0.0113 0.9323 0.2499
Ho: 0.5113 0.5677 0.7499
Ho: 0.9887 0.0677 0.7501
Ho: 0.4887 0.4323 0.2501
Re: 0.5000 0.0000 0.5000
Re: 0.0000 0.5000 0.0000
Tc: 0.5000 0.0000 0.0000
Tc: 0.0000 0.5000 0.5000
N: 0.3037 0.6979 0.0456
N: 0.8037 0.8021 0.5456
N: 0.6963 0.3021 0.9544
N: 0.1963 0.1979 0.4544
N: 0.3060 0.7005 0.4541
N: 0.8060 0.7995 0.9541
N: 0.6940 0.2995 0.5459
N: 0.1940 0.2005 0.0459
N: 0.9117 0.5210 0.2487
N: 0.4117 0.9790 0.7487
N: 0.0883 0.4790 0.7513
N: 0.5883 0.0210 0.2513

***

No. 3
First-principles (PBE) data for crystalline HoTh2ReN5 at its relaxed geometry, as listed in the Alexandria database.

ΔE_f (raw) = -8.7 eV/f.u.

Cell: 5.8679 6.7975 6.7975 Å, 90.00 90.00 90.00°
Fractional coordinates of all 18 atoms:
Ho: 0.0000 0.5000 0.5000
Ho: 0.0000 0.0000 0.0000
Th: 0.5000 0.6728 0.1728
Th: 0.5000 0.1728 0.3272
Th: 0.5000 0.8272 0.6728
Th: 0.5000 0.3272 0.8272
Re: 0.0000 0.0000 0.5000
Re: 0.0000 0.5000 0.0000
N: 0.5000 0.5000 0.5000
N: 0.5000 0.0000 0.0000
N: 0.2326 0.1444 0.6444
N: 0.2326 0.8556 0.3556
N: 0.2326 0.3556 0.1444
N: 0.2326 0.6444 0.8556
N: 0.7674 0.1444 0.6444
N: 0.7674 0.6444 0.8556
N: 0.7674 0.8556 0.3556
N: 0.7674 0.3556 0.1444

***

No. 4
First-principles (PBE) data for crystalline Ho2ReWN6 at its relaxed geometry, as listed in the Alexandria database.

ΔE_f (raw) = -8.3 eV/f.u.

Cell: 5.4071 5.6359 7.7413 Å, 90.00 89.84 90.00°
Fractional coordinates of all 20 atoms:
Ho: 0.0135 0.9375 0.2498
Ho: 0.5135 0.5625 0.7498
Ho: 0.9865 0.0625 0.7502
Ho: 0.4865 0.4375 0.2502
Re: 0.5000 0.0000 0.0000
Re: 0.0000 0.5000 0.5000
W: 0.5000 0.0000 0.5000
W: 0.0000 0.5000 0.0000
N: 0.3021 0.7035 0.0482
N: 0.8021 0.7965 0.5482
N: 0.6979 0.2965 0.9518
N: 0.1979 0.2035 0.4518
N: 0.2991 0.7010 0.4519
N: 0.7991 0.7990 0.9519
N: 0.7009 0.2990 0.5481
N: 0.2009 0.2010 0.0481
N: 0.9098 0.5212 0.2517
N: 0.4098 0.9788 0.7517
N: 0.0902 0.4788 0.7483
N: 0.5902 0.0212 0.2483

***

No. 5
First-principles (PBE) data for crystalline HoRhN at its relaxed geometry, as listed in the Alexandria database.

ΔE_f (raw) = 0.4 eV/f.u.

Cell: 3.3635 3.3635 4.8913 Å, 104.59 104.59 105.52°
Fractional coordinates of all 3 atoms:
Rh: 0.9540 0.9540 0.9080
N: 0.3915 0.3915 0.7830
Ho: 0.6545 0.6545 0.3091

***

No. 6
First-principles (PBE) data for crystalline Ho6Rh2N at its relaxed geometry, as listed in the Alexandria database.

ΔE_f (raw) = -7.5 eV/f.u.

Cell: 6.4054 6.9977 9.3349 Å, 90.00 88.86 90.00°
Fractional coordinates of all 18 atoms:
Ho: 0.1150 0.0383 0.2572
Ho: 0.1745 0.3068 0.5595
Ho: 0.1919 0.3256 0.9433
Ho: 0.3081 0.8256 0.5567
Ho: 0.3255 0.8068 0.9405
Ho: 0.3850 0.5383 0.2428
Ho: 0.8850 0.9617 0.7428
Ho: 0.8255 0.6932 0.4405
Ho: 0.8081 0.6744 0.0567
Ho: 0.6919 0.1744 0.4433
Ho: 0.6745 0.1932 0.0595
Ho: 0.6150 0.4617 0.7572
Rh: 0.0363 0.5934 0.7532
Rh: 0.4637 0.0934 0.7468
Rh: 0.5363 0.9066 0.2532
Rh: 0.9637 0.4066 0.2468
N: 0.5000 0.5000 0.0000
N: 0.0000 0.0000 0.5000

***

No. 7
First-principles (PBE) data for crystalline Ho2RhN at its relaxed geometry, as listed in the Alexandria database.

ΔE_f (raw) = -4.3 eV/f.u.

Cell: 3.4293 3.4293 7.2050 Å, 76.23 76.23 60.00°
Fractional coordinates of all 4 atoms:
Rh: 0.0000 0.0000 0.0000
Ho: 0.7660 0.7660 0.7021
Ho: 0.2340 0.2340 0.2979
N: 0.5000 0.5000 0.5000

***

No. 8
First-principles (PBE) data for crystalline Ho2ThRhN4 at its relaxed geometry, as listed in the Alexandria database.

ΔE_f (raw) = -9.0 eV/f.u.

Cell: 3.4046 6.1219 11.5435 Å, 90.00 90.00 106.14°
Fractional coordinates of all 16 atoms:
Ho: 0.3717 0.7433 0.5496
Ho: 0.6283 0.2567 0.0496
Ho: 0.6283 0.2567 0.4504
Ho: 0.3717 0.7433 0.9504
Th: 0.1131 0.2261 0.7500
Th: 0.8869 0.7739 0.2500
Rh: 0.8522 0.7043 0.7500
Rh: 0.1478 0.2957 0.2500
N: 0.2785 0.5571 0.1278
N: 0.7215 0.4429 0.6278
N: 0.7215 0.4429 0.8722
N: 0.2785 0.5571 0.3722
N: 0.0000 0.0000 0.5000
N: 0.0000 0.0000 0.0000
N: 0.4583 0.9166 0.7500
N: 0.5417 0.0834 0.2500

***

Which value of ΔE_f (raw) does entry 3 give?
-8.7 eV/f.u.

***

What is the ΔE_f (raw) in the sixth record?
-7.5 eV/f.u.

***

Copy entry 7 word for word.
First-principles (PBE) data for crystalline Ho2RhN at its relaxed geometry, as listed in the Alexandria database.

ΔE_f (raw) = -4.3 eV/f.u.

Cell: 3.4293 3.4293 7.2050 Å, 76.23 76.23 60.00°
Fractional coordinates of all 4 atoms:
Rh: 0.0000 0.0000 0.0000
Ho: 0.7660 0.7660 0.7021
Ho: 0.2340 0.2340 0.2979
N: 0.5000 0.5000 0.5000

***

Among the records above, which one has the lowest ΔE_f (raw)?
Ho2TaReN6